1.
Material: Pr8HRu3Br3
Method: DFT, GGA-PBE
State: relaxed

The energy is -5.571 eV per atom.

The structure belongs to space group C2/m (No. 12); the cell edges are 14.120, 8.132 and 9.156 Å and the angles 90.00°, 121.01° and 90.00°. The distinct sites, in fractional coordinates, are Pr at (0.019, 0.249, 0.305), Pr at (0.232, 0.500, 0.695), Pr at (0.235, 0.000, 0.704), H at (0.000, 0.500, 0.500), Ru at (0.000, 0.000, 0.500), Ru at (0.250, 0.250, 0.500), Br at (0.000, 0.500, 0.000) and Br at (0.250, 0.250, 0.000).

=====

2.
Material: Pr2H2SBr
Method: DFT, GGA-PBE
State: relaxed

The energy is -4.965 eV per atom.

The structure belongs to space group P-3m1 (No. 164); the cell edges are 3.9846, 3.9846 and 8.4117 Å and the angles 90.00°, 90.00° and 120.00°. The distinct sites, in fractional coordinates, are Pr at (0.3333, 0.6667, 0.2104), H at (0.3333, 0.6667, 0.7526), S at (0.0000, 0.0000, 0.0000) and Br at (0.0000, 0.0000, 0.5000).

=====

3.
Material: Pr2H2SeBr
Method: DFT, GGA-PBE
State: relaxed

The energy is -4.795 eV per atom.

The structure belongs to space group P-3m1 (No. 164); the cell edges are 4.0254, 4.0254 and 8.6502 Å and the angles 90.00°, 90.00° and 120.00°. The distinct sites, in fractional coordinates, are Pr at (0.3333, 0.6667, 0.2199), H at (0.3333, 0.6667, 0.7474), Se at (0.0000, 0.0000, 0.0000) and Br at (0.0000, 0.0000, 0.5000).

=====

4.
Material: Pr8Si3HBr4
Method: DFT, GGA-PBE
State: relaxed

The energy is -4.997 eV per atom.

The structure belongs to space group R-3m (No. 166, hexagonal axes); the cell edges are 8.3892, 8.3892 and 22.2739 Å and the angles 90.00°, 90.00° and 120.00°. The distinct sites, in fractional coordinates, are Pr at (0.0000, 0.0000, 0.2382), Pr at (0.0038, 0.5019, 0.2364), Si at (0.0000, 0.5000, 0.5000), H at (0.0000, 0.0000, 0.5000), Br at (0.0000, 0.0000, 0.0000) and Br at (0.0000, 0.5000, 0.0000).

=====

5.
Material: Pr6Si2HBr3
Method: DFT, GGA-PBE
State: relaxed

The energy is -4.917 eV per atom.

The structure belongs to space group C2/m (No. 12); the cell edges are 7.196, 12.438 and 7.814 Å and the angles 90.00°, 108.36° and 90.00°. The distinct sites, in fractional coordinates, are Pr at (0.230, 0.162, 0.206), Pr at (0.240, 0.500, 0.221), Si at (0.000, 0.335, 0.000), H at (0.000, 0.000, 0.000), Br at (0.000, 0.181, 0.500) and Br at (0.000, 0.500, 0.500).

=====

6.
Material: HPt3Br
Method: DFT, GGA-PBE
State: relaxed

The energy is -2.927 eV per atom.

The structure belongs to space group Pm-3m (No. 221); the cell edges are 4.766, 4.766 and 4.766 Å and the angles 90.00°, 90.00° and 90.00°. The distinct sites, in fractional coordinates, are H at (0.000, 0.000, 0.000), Pt at (0.000, 0.500, 0.500) and Br at (0.500, 0.500, 0.500).

=====

7.
Material: HPtBr3
Method: DFT, GGA-PBE
State: relaxed

The calculation puts the energy above the most stable polymorph in this dataset at 0.000 eV/atom.

The structure belongs to space group Pm-3m (No. 221); the cell edges are 5.147, 5.147 and 5.147 Å and the angles 90.00°, 90.00° and 90.00°. The distinct sites, in fractional coordinates, are H at (0.000, 0.000, 0.000), Pt at (0.500, 0.500, 0.500) and Br at (0.000, 0.500, 0.500).

=====

8.
Material: HPt2Br
Method: DFT, GGA-PBE
State: relaxed

The calculation puts the energy above the most stable polymorph in this dataset at 0.734 eV/atom.

The structure belongs to space group Fm-3m (No. 225); the cell edges are 6.201, 6.201 and 6.201 Å and the angles 90.00°, 90.00° and 90.00°. The distinct sites, in fractional coordinates, are H at (0.000, 0.000, 0.000), Pt at (0.250, 0.250, 0.250) and Br at (0.000, 0.000, 0.500).